# 1
{"formula": "Rb2Dy2RuO6", "functional": "PBE", "state": "relaxed", "sg": "C2/m", "dft_energy_ev_per_atom": -6.756, "formation_energy_uncorrected_mev_per_atom": -2195.1, "mass_density_g_cm3": 5.96, "total_magnetization_mub_per_atom": 0.182, "cell": [[2.910, -4.994, 0.000], [2.910, 4.994, 0.000], [-1.780, 0.000, 6.640]], "species": ["Rb", "Rb", "Dy", "Dy", "Ru", "O", "O", "O", "O", "O", "O"], "fractional_positions": [[0.164, 0.836, 0.000], [0.836, 0.164, 0.000], [0.335, 0.665, 0.500], [0.665, 0.335, 0.500], [0.000, 0.000, 0.500], [0.048, 0.359, 0.664], [0.252, 0.252, 0.334], [0.359, 0.048, 0.664], [0.641, 0.952, 0.336], [0.748, 0.748, 0.666], [0.952, 0.641, 0.336]]}



# 2
{"formula": "Rb4Dy3RuO8", "functional": "PBE", "state": "relaxed", "sg": "R-3m", "dft_energy_ev_per_atom": -6.353, "formation_energy_uncorrected_mev_per_atom": -2189.7, "mass_density_g_cm3": 6.63, "total_magnetization_mub_per_atom": 0.063, "cell": [[3.432, 1.981, 6.503], [-3.432, 1.981, 6.503], [0.000, -3.962, 6.503]], "species": ["Rb", "Rb", "Rb", "Rb", "Dy", "Dy", "Dy", "Ru", "O", "O", "O", "O", "O", "O", "O", "O"], "fractional_positions": [[0.000, 0.000, 0.000], [0.000, 0.500, 0.500], [0.500, 0.000, 0.500], [0.500, 0.500, 0.000], [0.000, 0.000, 0.500], [0.000, 0.500, 0.000], [0.500, 0.000, 0.000], [0.500, 0.500, 0.500], [0.225, 0.225, 0.225], [0.237, 0.719, 0.719], [0.281, 0.281, 0.763], [0.281, 0.763, 0.281], [0.719, 0.237, 0.719], [0.719, 0.719, 0.237], [0.763, 0.281, 0.281], [0.775, 0.775, 0.775]]}



# 3
{"formula": "Rb2DyRu3O12", "functional": "PBE", "state": "relaxed", "sg": "R-3m", "dft_energy_ev_per_atom": -6.498, "formation_energy_uncorrected_mev_per_atom": -1283.4, "mass_density_g_cm3": 4.73, "total_magnetization_mub_per_atom": 0.122, "cell": [[3.662, 2.114, 6.257], [-3.662, 2.114, 6.257], [0.000, -4.229, 6.257]], "species": ["Rb", "Rb", "Dy", "Ru", "Ru", "Ru", "O", "O", "O", "O", "O", "O", "O", "O", "O", "O", "O", "O"], "fractional_positions": [[0.116, 0.116, 0.116], [0.884, 0.884, 0.884], [0.500, 0.500, 0.500], [0.000, 0.500, 0.500], [0.500, 0.000, 0.500], [0.500, 0.500, 0.000], [0.141, 0.578, 0.578], [0.196, 0.196, 0.577], [0.196, 0.577, 0.196], [0.422, 0.422, 0.859], [0.422, 0.859, 0.422], [0.423, 0.804, 0.804], [0.577, 0.196, 0.196], [0.578, 0.141, 0.578], [0.578, 0.578, 0.141], [0.804, 0.423, 0.804], [0.804, 0.804, 0.423], [0.859, 0.422, 0.422]]}



# 4
{"formula": "RbDy2RuO8", "functional": "PBE", "state": "relaxed", "sg": "P-1", "dft_energy_ev_per_atom": -6.796, "formation_energy_uncorrected_mev_per_atom": -1869.4, "mass_density_g_cm3": 6.63, "total_magnetization_mub_per_atom": 0.075, "cell": [[4.337, 0.000, 0.000], [0.205, 5.178, 0.000], [2.027, 0.022, 7.133]], "species": ["Rb", "Dy", "Dy", "Ru", "O", "O", "O", "O", "O", "O", "O", "O"], "fractional_positions": [[0.000, 0.000, 0.000], [0.389, 0.525, 0.305], [0.611, 0.475, 0.695], [0.000, 0.000, 0.500], [0.164, 0.316, 0.593], [0.223, 0.774, 0.621], [0.324, 0.496, 0.010], [0.346, 0.978, 0.278], [0.654, 0.022, 0.722], [0.676, 0.504, 0.990], [0.777, 0.226, 0.379], [0.836, 0.684, 0.407]]}



# 5
{"formula": "RbDyRu2O8", "functional": "PBE", "state": "relaxed", "sg": "P-3", "dft_energy_ev_per_atom": -6.808, "formation_energy_uncorrected_mev_per_atom": -1492.7, "mass_density_g_cm3": 3.87, "total_magnetization_mub_per_atom": 0.336, "cell": [[5.968, 0.000, 0.000], [-2.984, 5.168, 0.000], [0.000, 0.000, 8.041]], "species": ["Rb", "Dy", "Ru", "Ru", "O", "O", "O", "O", "O", "O", "O", "O"], "fractional_positions": [[0.000, 0.000, 0.000], [0.000, 0.000, 0.500], [0.333, 0.667, 0.751], [0.667, 0.333, 0.249], [0.155, 0.338, 0.675], [0.183, 0.845, 0.675], [0.333, 0.667, 0.969], [0.338, 0.183, 0.325], [0.662, 0.817, 0.675], [0.667, 0.333, 0.031], [0.817, 0.155, 0.325], [0.845, 0.662, 0.325]]}



# 6
{"formula": "RbDyRuO6", "functional": "PBE", "state": "relaxed", "sg": "P312", "dft_energy_ev_per_atom": -6.471, "formation_energy_uncorrected_mev_per_atom": -1515.7, "mass_density_g_cm3": 4.36, "total_magnetization_mub_per_atom": 0.000, "cell": [[5.635, 0.000, 0.000], [-2.818, 4.880, 0.000], [0.000, 0.000, 6.156]], "species": ["Rb", "Dy", "Ru", "O", "O", "O", "O", "O", "O"], "fractional_positions": [[0.000, 0.000, 0.000], [0.333, 0.667, 0.500], [0.667, 0.333, 0.500], [0.412, 0.047, 0.679], [0.412, 0.365, 0.321], [0.635, 0.047, 0.321], [0.635, 0.588, 0.679], [0.953, 0.365, 0.679], [0.953, 0.588, 0.321]]}



# 7
{"formula": "RbDyS2O8", "functional": "PBE", "state": "relaxed", "sg": "P-3", "dft_energy_ev_per_atom": -6.558, "formation_energy_uncorrected_mev_per_atom": -2100.6, "mass_density_g_cm3": 3.45, "total_magnetization_mub_per_atom": 0.000, "cell": [[5.370, 0.000, 0.000], [-2.685, 4.650, 0.000], [0.000, 0.000, 8.484]], "species": ["Rb", "Dy", "S", "S", "O", "O", "O", "O", "O", "O", "O", "O"], "fractional_positions": [[0.000, 0.000, 0.000], [0.000, 0.000, 0.500], [0.333, 0.667, 0.725], [0.667, 0.333, 0.275], [0.126, 0.374, 0.663], [0.248, 0.874, 0.663], [0.333, 0.667, 0.897], [0.374, 0.248, 0.337], [0.626, 0.752, 0.663], [0.667, 0.333, 0.103], [0.752, 0.126, 0.337], [0.874, 0.626, 0.337]]}



# 8
{"formula": "RbDyS2O8", "functional": "PBE", "state": "relaxed", "sg": "Pnna", "dft_energy_ev_per_atom": -6.547, "formation_energy_uncorrected_mev_per_atom": -2089.9, "mass_density_g_cm3": 4.21, "total_magnetization_mub_per_atom": 0.000, "cell": [[9.570, 0.000, 0.000], [0.000, 13.574, 0.000], [0.000, 0.000, 5.345]], "species": ["Rb", "Rb", "Rb", "Rb", "Dy", "Dy", "Dy", "Dy", "S", "S", "S", "S", "S", "S", "S", "S", "O", "O", "O", "O", "O", "O", "O", "O", "O", "O", "O", "O", "O", "O", "O", "O", "O", "O", "O", "O", "O", "O", "O", "O", "O", "O", "O", "O", "O", "O", "O", "O"], "fractional_positions": [[0.078, 0.250, 0.250], [0.422, 0.750, 0.250], [0.578, 0.250, 0.750], [0.922, 0.750, 0.750], [0.250, 0.000, 0.672], [0.250, 0.500, 0.828], [0.750, 0.000, 0.328], [0.750, 0.500, 0.172], [0.087, 0.583, 0.265], [0.087, 0.917, 0.235], [0.413, 0.083, 0.235], [0.413, 0.417, 0.265], [0.587, 0.583, 0.735], [0.587, 0.917, 0.765], [0.913, 0.083, 0.765], [0.913, 0.417, 0.735], [0.064, 0.110, 0.781], [0.064, 0.390, 0.719], [0.102, 0.022, 0.313], [0.102, 0.478, 0.187], [0.152, 0.600, 0.514], [0.152, 0.900, 0.986], [0.158, 0.642, 0.066], [0.158, 0.858, 0.434], [0.342, 0.142, 0.434], [0.342, 0.358, 0.066], [0.348, 0.100, 0.986], [0.348, 0.400, 0.514], [0.398, 0.522, 0.187], [0.398, 0.978, 0.313], [0.436, 0.610, 0.719], [0.436, 0.890, 0.781], [0.564, 0.110, 0.219], [0.564, 0.390, 0.281], [0.602, 0.022, 0.687], [0.602, 0.478, 0.813], [0.652, 0.600, 0.486], [0.652, 0.900, 0.014], [0.658, 0.642, 0.934], [0.658, 0.858, 0.566], [0.842, 0.142, 0.566], [0.842, 0.358, 0.934], [0.848, 0.100, 0.014], [0.848, 0.400, 0.486], [0.898, 0.522, 0.813], [0.898, 0.978, 0.687], [0.936, 0.610, 0.281], [0.936, 0.890, 0.219]]}